Tb4GaTe: relaxed, GGA-PBE.

Cell: 4.144 8.321 19.224 Å, 90.00 90.00 90.00°
Atoms (fractional coordinates):
Te1 0.250 0.264 0.188
Te2 0.250 0.764 0.312
Te3 0.750 0.736 0.812
Te4 0.750 0.236 0.688
Ga1 0.250 0.765 0.546
Ga2 0.750 0.235 0.454
Ga3 0.250 0.265 0.954
Ga4 0.750 0.735 0.046
Tb1 0.250 0.144 0.350
Tb2 0.750 0.504 0.568
Tb3 0.750 0.466 0.283
Tb4 0.250 0.496 0.432
Tb5 0.750 0.356 0.850
Tb6 0.250 0.034 0.783
Tb7 0.250 0.640 0.941
Tb8 0.750 0.860 0.441
Tb9 0.750 0.004 0.932
Tb10 0.750 0.966 0.217
Tb11 0.250 0.996 0.068
Tb12 0.750 0.360 0.059
Tb13 0.750 0.856 0.650
Tb14 0.250 0.644 0.150
Tb15 0.250 0.534 0.717
Tb16 0.250 0.140 0.559

**Relative energy among the computed polymorphs**: 0.000 eV per atom
**Formation energy (no corrections)**: -0.646 eV per atom
**Uncorrected energy**: -4.761 eV per atom

---

TbGaTe: relaxed, GGA-PBE.

Cell: 4.309 4.309 11.775 Å, 79.46 79.46 60.00°
Atoms (fractional coordinates):
Ga1 0.838 0.838 0.485
Ga2 0.162 0.162 0.515
Tb1 0.564 0.564 0.307
Tb2 0.436 0.436 0.693
Te1 0.721 0.721 0.837
Te2 0.279 0.279 0.163

**Formation energy (no corrections)**: -0.844 eV per atom
**Uncorrected energy**: -4.444 eV per atom

---

Tb2GaTe: relaxed, GGA-PBE.

Cell: 4.121 4.121 7.941 Å, 74.96 74.96 60.00°
Atoms (fractional coordinates):
Tb1 0.255 0.255 0.236
Tb2 0.745 0.745 0.764
Te1 0.500 0.500 0.500
Ga1 0.000 0.000 0.000

**Relative energy among the computed polymorphs**: 0.071 eV per atom
**Formation energy (no corrections)**: -0.948 eV per atom
**Uncorrected energy**: -4.805 eV per atom

---

Tb5GaTe4: relaxed, GGA-PBE.

Cell: 6.137 7.546 7.546 Å, 80.48 66.00 66.00°
Atoms (fractional coordinates):
Te1 0.196 0.212 0.397
Te2 0.593 0.603 0.212
Te3 0.806 0.788 0.603
Te4 0.408 0.397 0.788
Tb1 0.905 0.374 0.818
Tb2 0.501 0.000 0.000
Tb3 0.279 0.818 0.626
Tb4 0.097 0.626 0.182
Tb5 0.723 0.182 0.374
Ga1 0.001 0.000 0.000

**Formation energy (no corrections)**: -1.230 eV per atom
**Uncorrected energy**: -5.104 eV per atom

---

Tb4GaTe: relaxed, GGA-PBE.

Cell: 5.899 7.651 8.785 Å, 90.00 90.00 106.11°
Atoms (fractional coordinates):
Tb1 0.425 0.981 0.750
Tb2 0.581 0.494 0.750
Tb3 0.028 0.742 0.051
Tb4 0.972 0.258 0.551
Tb5 0.028 0.742 0.449
Tb6 0.575 0.019 0.250
Tb7 0.419 0.506 0.250
Tb8 0.972 0.258 0.949
Te1 0.896 0.909 0.750
Te2 0.104 0.091 0.250
Ga1 0.874 0.427 0.250
Ga2 0.126 0.573 0.750

**Relative energy among the computed polymorphs**: 0.253 eV per atom
**Formation energy (no corrections)**: -0.393 eV per atom
**Uncorrected energy**: -4.508 eV per atom

---

Tb2GaTe: relaxed, GGA-PBE.

Cell: 3.700 3.700 7.514 Å, 90.00 90.00 90.00°
Atoms (fractional coordinates):
Tb1 0.000 0.000 0.758
Tb2 0.000 0.000 0.242
Te1 0.500 0.500 0.500
Ga1 0.500 0.500 0.000

**Relative energy among the computed polymorphs**: 0.242 eV per atom
**Formation energy (no corrections)**: -0.778 eV per atom
**Uncorrected energy**: -4.635 eV per atom

---

Tb7Ga2Te2: relaxed, GGA-PBE.

Cell: 6.686 7.618 6.686 Å, 89.97 107.51 90.03°
Atoms (fractional coordinates):
Ga1 0.832 0.500 0.832
Ga2 0.168 0.500 0.168
Tb1 0.000 0.290 0.500
Tb2 0.500 0.724 0.500
Tb3 0.000 0.000 0.000
Tb4 0.500 0.290 0.000
Tb5 0.500 0.710 0.000
Tb6 0.500 0.276 0.500
Tb7 0.000 0.710 0.500
Te1 0.283 0.000 0.717
Te2 0.717 0.000 0.283

**Formation energy (no corrections)**: -0.387 eV per atom
**Uncorrected energy**: -4.455 eV per atom

---

Tb4GaTe3: relaxed, GGA-PBE.

Cell: 7.489 7.553 8.725 Å, 90.00 90.00 109.37°
Atoms (fractional coordinates):
Ga1 0.750 0.000 0.878
Ga2 0.250 0.000 0.122
Te1 0.750 0.000 0.378
Te2 0.750 0.500 0.125
Te3 0.250 0.500 0.875
Te4 0.250 0.500 0.381
Te5 0.750 0.500 0.619
Te6 0.250 0.000 0.622
Tb1 0.018 0.766 0.355
Tb2 0.502 0.229 0.885
Tb3 0.498 0.771 0.115
Tb4 0.002 0.229 0.115
Tb5 0.998 0.771 0.885
Tb6 0.482 0.234 0.355
Tb7 0.982 0.234 0.645
Tb8 0.518 0.766 0.645

**Formation energy (no corrections)**: -1.202 eV per atom
**Uncorrected energy**: -5.073 eV per atom